Here is ZnRh2PbN after structural relaxation from the Alexandria database. Energies are from GGA-PBE.

Calculated values
Formation energy from raw total energies in eV per atom: 2.2411

Cell lengths 5.106, 5.106, 5.266 Å; angles 90.00, 90.00, 90.00 degrees
Space group P4/mmm (No. 123)
Symmetry-distinct sites (fractional):
Zn  0.000  0.000  0.000
Rh  0.000  0.500  0.500
Pb  0.000  0.000  0.500
N  0.500  0.500  0.000

---

Here is Sm2Dy2Ir3 after structural relaxation from the Alexandria database. Energies are from GGA-PBE.

Calculated values
Calculated formation energy in eV/atom: -0.609
Offset from the most stable computed form in kcal/mol of atoms: 3.42

Cell lengths 4.473, 5.937, 7.485 Å; angles 98.85, 90.06, 112.10 degrees
Space group P-1 (No. 2)
Symmetry-distinct sites (fractional):
Sm  0.137  0.272  0.355
Dy  0.361  0.721  0.066
Ir  0.000  0.000  0.000
Ir  0.190  0.380  0.735